Entry 1
HfCrAu3 | GGA-PBE | relaxed

```
data_HfCrAu3
_space_group_name_H-M_alt 'P m -3 m'
_space_group_IT_number 221
_space_group_name_Hall '-P 4 2 3'
_cell_length_a 5.106
_cell_length_b 5.106
_cell_length_c 5.106
_cell_angle_alpha 90.00
_cell_angle_beta 90.00
_cell_angle_gamma 90.00
loop_
_atom_site_label
_atom_site_type_symbol
_atom_site_fract_x
_atom_site_fract_y
_atom_site_fract_z
Hf1 Hf 0.000 0.000 0.000
Cr1 Cr 0.500 0.500 0.500
Au1 Au 0.000 0.000 0.500
```


Entry 2
HfCrAu3 | GGA-PBE | relaxed

```
data_HfCrAu3
_space_group_name_H-M_alt 'P m -3 m'
_space_group_IT_number 221
_space_group_name_Hall '-P 4 2 3'
_cell_length_a 4.743
_cell_length_b 4.743
_cell_length_c 4.743
_cell_angle_alpha 90.00
_cell_angle_beta 90.00
_cell_angle_gamma 90.00
loop_
_atom_site_label
_atom_site_type_symbol
_atom_site_fract_x
_atom_site_fract_y
_atom_site_fract_z
Hf1 Hf 0.000 0.000 0.000
Cr1 Cr 0.500 0.500 0.500
Au1 Au 0.000 0.500 0.500
```


It is entry 1 that is the least stable of them.


Entry 1
CrHg2Au | GGA-PBE | relaxed

```
data_CrHg2Au
_space_group_name_H-M_alt 'P 1 2/m 1'
_space_group_IT_number 10
_cell_length_a 3.302
_cell_length_b 4.887
_cell_length_c 5.141
_cell_angle_alpha 90.00
_cell_angle_beta 90.27
_cell_angle_gamma 90.00
loop_
_space_group_symop_operation_xyz
'x,y,z'
'-x,-y,-z'
'-x,y,-z'
'x,-y,z'
loop_
_atom_site_label
_atom_site_type_symbol
_atom_site_fract_x
_atom_site_fract_y
_atom_site_fract_z
Cr1 Cr 0.000 0.000 0.000
Hg1 Hg 0.263 0.500 0.754
Au1 Au 0.500 0.000 0.500
```


Entry 2
CrHg2Au | GGA-PBE | relaxed

```
data_CrHg2Au
_space_group_name_H-M_alt 'C 1 2/m 1'
_space_group_IT_number 12
_cell_length_a 9.492
_cell_length_b 3.325
_cell_length_c 5.188
_cell_angle_alpha 90.00
_cell_angle_beta 102.18
_cell_angle_gamma 90.00
loop_
_space_group_symop_operation_xyz
'x,y,z'
'-x,-y,-z'
'-x,y,-z'
'x,-y,z'
'x+1/2,y+1/2,z'
'-x+1/2,-y+1/2,-z'
'-x+1/2,y+1/2,-z'
'x+1/2,-y+1/2,z'
loop_
_atom_site_label
_atom_site_type_symbol
_atom_site_fract_x
_atom_site_fract_y
_atom_site_fract_z
Cr1 Cr 0.000 0.000 0.000
Hg1 Hg 0.246 0.500 0.245
Au1 Au 0.000 0.500 0.500
```


Entry 3
CrHg2Au | GGA-PBE | relaxed

```
data_CrHg2Au
_space_group_name_H-M_alt 'I -4 2 d'
_space_group_IT_number 122
_space_group_name_Hall 'I -4 2bw'
_cell_length_a 7.760
_cell_length_b 7.760
_cell_length_c 5.814
_cell_angle_alpha 90.00
_cell_angle_beta 90.00
_cell_angle_gamma 90.00
loop_
_atom_site_label
_atom_site_type_symbol
_atom_site_fract_x
_atom_site_fract_y
_atom_site_fract_z
Cr1 Cr 0.000 0.000 0.000
Hg1 Hg 0.246 0.750 0.125
Au1 Au 0.000 0.000 0.500
```


Entry 4
CrHg2Au | GGA-PBE | relaxed

```
data_CrHg2Au
_space_group_name_H-M_alt 'P 1 m 1'
_space_group_IT_number 6
_cell_length_a 3.220
_cell_length_b 3.162
_cell_length_c 8.198
_cell_angle_alpha 90.00
_cell_angle_beta 98.80
_cell_angle_gamma 90.00
loop_
_space_group_symop_operation_xyz
'x,y,z'
'x,-y,z'
loop_
_atom_site_label
_atom_site_type_symbol
_atom_site_fract_x
_atom_site_fract_y
_atom_site_fract_z
Cr1 Cr 0.000 0.000 0.000
Hg1 Hg 0.176 0.000 0.453
Hg2 Hg 0.411 0.500 0.769
Au1 Au 0.579 0.500 0.198
```


It is entry 3 that is the least stable of them.


Entry 1
CrAuI2 | GGA-PBE | relaxed

```
data_CrAuI2
_space_group_name_H-M_alt 'F m -3 m'
_space_group_IT_number 225
_space_group_name_Hall '-F 4 2 3'
_cell_length_a 7.508
_cell_length_b 7.508
_cell_length_c 7.508
_cell_angle_alpha 90.00
_cell_angle_beta 90.00
_cell_angle_gamma 90.00
loop_
_atom_site_label
_atom_site_type_symbol
_atom_site_fract_x
_atom_site_fract_y
_atom_site_fract_z
Cr1 Cr 0.000 0.000 0.000
Au1 Au 0.000 0.000 0.500
I1 I 0.250 0.250 0.250
```


Entry 2
CrAuI2 | GGA-PBE | relaxed

```
data_CrAuI2
_space_group_name_H-M_alt 'I -4 2 d'
_space_group_IT_number 122
_space_group_name_Hall 'I -4 2bw'
_cell_length_a 6.498
_cell_length_b 6.498
_cell_length_c 13.158
_cell_angle_alpha 90.00
_cell_angle_beta 90.00
_cell_angle_gamma 90.00
loop_
_atom_site_label
_atom_site_type_symbol
_atom_site_fract_x
_atom_site_fract_y
_atom_site_fract_z
Cr1 Cr 0.000 0.000 0.000
Au1 Au 0.000 0.000 0.500
I1 I 0.243 0.250 0.125
```


It is entry 1 that is the least stable of them.